1.
Here is AcGa2Pt after structural relaxation from the Alexandria database. Energies are from GGA-PBE.

Properties
Its energy above the most stable polymorph in this dataset is 351.8 meV per atom. For the total magnetization, the calculation gives 0.000 μB/cell. The calculation puts the total energy at -18.1 eV per cell.

abc: 3.475 3.475 7.134
angles: 90.00 90.00 90.00
Positions (direct):
Ac  0.000  0.000  0.000
Ga  0.500  0.500  0.316
Ga  0.500  0.500  0.684
Pt  0.000  0.000  0.500

***

2.
Here is Ac12Ga6Pt after structural relaxation from the Alexandria database. Energies are from GGA-PBE.

Properties
For the total magnetization, the calculation gives 0.008 μB/cell. The calculation puts the total energy at -78.7 eV per cell.

abc: 9.215 9.215 9.215
angles: 99.61 99.61 99.61
Positions (direct):
Ac  0.043  0.680  0.927
Ac  0.073  0.957  0.320
Ac  0.183  0.427  0.568
Ac  0.320  0.073  0.957
Ac  0.427  0.568  0.183
Ac  0.432  0.817  0.573
Ac  0.568  0.183  0.427
Ac  0.573  0.432  0.817
Ac  0.680  0.927  0.043
Ac  0.817  0.573  0.432
Ac  0.927  0.043  0.680
Ac  0.957  0.320  0.073
Ga  0.134  0.624  0.302
Ga  0.302  0.134  0.624
Ga  0.376  0.698  0.866
Ga  0.624  0.302  0.134
Ga  0.698  0.866  0.376
Ga  0.866  0.376  0.698
Pt  0.000  0.000  0.000

***

3.
Here is AcGaPt2 after structural relaxation from the Alexandria database. Energies are from GGA-PBE.

Properties
For the total magnetization, the calculation gives 0.000 μB/cell. The calculation puts the total energy at -93.5 eV per cell.

abc: 7.454 4.382 10.909
angles: 90.00 90.00 90.00
Positions (direct):
Ac  0.158  0.250  0.137
Ac  0.342  0.750  0.637
Ac  0.658  0.250  0.363
Ac  0.842  0.750  0.863
Ga  0.030  0.750  0.393
Ga  0.470  0.250  0.893
Ga  0.530  0.750  0.107
Ga  0.970  0.250  0.607
Pt  0.138  0.250  0.808
Pt  0.208  0.250  0.435
Pt  0.292  0.750  0.935
Pt  0.362  0.750  0.308
Pt  0.638  0.250  0.692
Pt  0.708  0.250  0.065
Pt  0.792  0.750  0.565
Pt  0.862  0.750  0.192

***

4.
Here is AcGa2Pt after structural relaxation from the Alexandria database. Energies are from GGA-PBE.

Properties
Its energy above the most stable polymorph in this dataset is 15.5 meV per atom. For the total magnetization, the calculation gives 0.000 μB/cell. The calculation puts the total energy at -19.4 eV per cell.

abc: 6.153 6.153 6.153
angles: 41.28 41.28 41.28
Positions (direct):
Ac  0.000  0.000  0.000
Ga  0.210  0.210  0.210
Ga  0.790  0.790  0.790
Pt  0.500  0.500  0.500

***

5.
Here is Ac2GaPt3 after structural relaxation from the Alexandria database. Energies are from GGA-PBE.

Properties
Its energy above the most stable polymorph in this dataset is 0.0 meV per atom. For the total magnetization, the calculation gives 0.000 μB/cell. The calculation puts the total energy at -35.7 eV per cell.

abc: 8.739 8.739 8.739
angles: 151.85 151.56 40.44
Positions (direct):
Ac  0.000  0.000  0.000
Ac  0.736  0.236  0.500
Ga  0.406  0.406  0.000
Pt  0.162  0.662  0.500
Pt  0.328  0.828  0.500
Pt  0.559  0.559  0.000

***

6.
Here is Ac4Ga2Pt after structural relaxation from the Alexandria database. Energies are from GGA-PBE.

Properties
Its energy above the most stable polymorph in this dataset is 0.0 meV per atom. For the total magnetization, the calculation gives 0.002 μB/cell. The calculation puts the total energy at -32.1 eV per cell.

abc: 9.171 9.171 6.637
angles: 110.78 110.78 27.29
Positions (direct):
Ac  0.096  0.096  0.461
Ac  0.367  0.367  0.989
Ac  0.633  0.633  0.011
Ac  0.904  0.904  0.539
Ga  0.262  0.262  0.378
Ga  0.738  0.738  0.622
Pt  0.000  0.000  0.000

***

7.
Here is AcGa3Pt after structural relaxation from the Alexandria database. Energies are from GGA-PBE.

Properties
Its energy above the most stable polymorph in this dataset is 4.3 meV per atom. For the total magnetization, the calculation gives 0.000 μB/cell. The calculation puts the total energy at -23.3 eV per cell.

abc: 4.479 4.479 6.187
angles: 111.09 111.09 90.04
Positions (direct):
Ac  0.000  0.000  0.000
Ga  0.255  0.755  0.509
Ga  0.402  0.402  0.803
Ga  0.755  0.255  0.509
Pt  0.639  0.639  0.276

***

8.
Here is AcGa6Pt12 after structural relaxation from the Alexandria database. Energies are from GGA-PBE.

Properties
For the total magnetization, the calculation gives 0.000 μB/cell. The calculation puts the total energy at -106.1 eV per cell.

abc: 7.292 7.292 7.292
angles: 105.91 105.91 105.91
Positions (direct):
Ac  0.000  0.000  0.000
Ga  0.267  0.267  0.701
Ga  0.267  0.701  0.267
Ga  0.299  0.733  0.733
Ga  0.701  0.267  0.267
Ga  0.733  0.299  0.733
Ga  0.733  0.733  0.299
Pt  0.123  0.500  0.877
Pt  0.123  0.877  0.500
Pt  0.161  0.403  0.403
Pt  0.403  0.161  0.403
Pt  0.403  0.403  0.161
Pt  0.500  0.123  0.877
Pt  0.500  0.877  0.123
Pt  0.597  0.597  0.839
Pt  0.597  0.839  0.597
Pt  0.839  0.597  0.597
Pt  0.877  0.123  0.500
Pt  0.877  0.500  0.123

***

9.
Here is AcGa2Pt3 after structural relaxation from the Alexandria database. Energies are from GGA-PBE.

Properties
Its energy above the most stable polymorph in this dataset is 0.0 meV per atom. For the total magnetization, the calculation gives 0.000 μB/cell. The calculation puts the total energy at -67.4 eV per cell.

abc: 6.698 6.698 5.519
angles: 90.00 90.00 78.18
Positions (direct):
Ac  0.189  0.811  0.750
Ac  0.811  0.189  0.250
Ga  0.292  0.292  0.000
Ga  0.292  0.292  0.500
Ga  0.708  0.708  0.000
Ga  0.708  0.708  0.500
Pt  0.023  0.609  0.250
Pt  0.391  0.977  0.250
Pt  0.436  0.564  0.250
Pt  0.564  0.436  0.750
Pt  0.609  0.023  0.750
Pt  0.977  0.391  0.750

***

10.
Here is AcGa6Pt after structural relaxation from the Alexandria database. Energies are from GGA-PBE.

Properties
For the total magnetization, the calculation gives 0.000 μB/cell. The calculation puts the total energy at -32.8 eV per cell.

abc: 4.483 4.483 8.047
angles: 90.00 90.00 90.00
Positions (direct):
Ac  0.000  0.000  0.000
Ga  0.000  0.500  0.332
Ga  0.000  0.500  0.668
Ga  0.500  0.000  0.332
Ga  0.500  0.000  0.668
Ga  0.500  0.500  0.154
Ga  0.500  0.500  0.846
Pt  0.000  0.000  0.500

***

11.
Here is Ac2Ga9Pt3 after structural relaxation from the Alexandria database. Energies are from GGA-PBE.

Properties
For the total magnetization, the calculation gives 0.000 μB/cell. The calculation puts the total energy at -125.4 eV per cell.

abc: 7.926 7.926 10.856
angles: 111.02 111.02 60.12
Positions (direct):
Ac  0.084  0.250  0.251
Ac  0.250  0.084  0.751
Ac  0.750  0.916  0.249
Ac  0.916  0.750  0.749
Ga  0.032  0.852  0.076
Ga  0.148  0.968  0.424
Ga  0.199  0.360  0.577
Ga  0.222  0.579  0.251
Ga  0.316  0.481  0.942
Ga  0.360  0.199  0.077
Ga  0.381  0.619  0.750
Ga  0.421  0.778  0.249
Ga  0.481  0.316  0.442
Ga  0.519  0.684  0.558
Ga  0.579  0.222  0.751
Ga  0.619  0.381  0.250
Ga  0.640  0.801  0.923
Ga  0.684  0.519  0.058
Ga  0.778  0.421  0.749
Ga  0.801  0.640  0.423
Ga  0.852  0.032  0.576
Ga  0.968  0.148  0.924
Pt  0.000  0.500  0.000
Pt  0.166  0.666  0.498
Pt  0.334  0.834  0.002
Pt  0.500  0.000  0.500
Pt  0.666  0.166  0.998
Pt  0.834  0.334  0.502

***

12.
Here is AcGa12Pt4 after structural relaxation from the Alexandria database. Energies are from GGA-PBE.

Properties
For the total magnetization, the calculation gives 0.000 μB/cell. The calculation puts the total energy at -71.2 eV per cell.

abc: 7.705 7.705 7.705
angles: 109.47 109.47 109.47
Positions (direct):
Ac  0.000  0.000  0.000
Ga  0.159  0.510  0.351
Ga  0.159  0.809  0.649
Ga  0.191  0.351  0.841
Ga  0.351  0.159  0.510
Ga  0.351  0.841  0.191
Ga  0.490  0.649  0.841
Ga  0.510  0.351  0.159
Ga  0.649  0.159  0.809
Ga  0.649  0.841  0.490
Ga  0.809  0.649  0.159
Ga  0.841  0.191  0.351
Ga  0.841  0.490  0.649
Pt  0.000  0.000  0.500
Pt  0.000  0.500  0.000
Pt  0.500  0.000  0.000
Pt  0.500  0.500  0.500

***

13.
Here is Ac3Ga4Pt2 after structural relaxation from the Alexandria database. Energies are from GGA-PBE.

Properties
Its energy above the most stable polymorph in this dataset is 46.1 meV per atom. For the total magnetization, the calculation gives 0.000 μB/cell. The calculation puts the total energy at -43.8 eV per cell.

abc: 6.116 6.116 9.460
angles: 107.93 107.93 42.41
Positions (direct):
Ac  0.000  0.000  0.000
Ac  0.391  0.391  0.308
Ac  0.609  0.609  0.692
Ga  0.142  0.142  0.431
Ga  0.273  0.273  0.938
Ga  0.727  0.727  0.062
Ga  0.858  0.858  0.569
Pt  0.332  0.332  0.697
Pt  0.668  0.668  0.303

***

14.
Here is AcGa12Pt6 after structural relaxation from the Alexandria database. Energies are from GGA-PBE.

Properties
For the total magnetization, the calculation gives 0.000 μB/cell. The calculation puts the total energy at -88.1 eV per cell.

abc: 7.255 7.255 7.255
angles: 104.17 104.17 104.17
Positions (direct):
Ac  0.000  0.000  0.000
Ga  0.111  0.500  0.889
Ga  0.111  0.889  0.500
Ga  0.149  0.403  0.403
Ga  0.403  0.149  0.403
Ga  0.403  0.403  0.149
Ga  0.500  0.111  0.889
Ga  0.500  0.889  0.111
Ga  0.597  0.597  0.851
Ga  0.597  0.851  0.597
Ga  0.851  0.597  0.597
Ga  0.889  0.111  0.500
Ga  0.889  0.500  0.111
Pt  0.282  0.717  0.717
Pt  0.283  0.283  0.718
Pt  0.283  0.718  0.283
Pt  0.717  0.282  0.717
Pt  0.717  0.717  0.282
Pt  0.718  0.283  0.283

***

15.
Here is AcGa4Pt2 after structural relaxation from the Alexandria database. Energies are from GGA-PBE.

Properties
For the total magnetization, the calculation gives 0.000 μB/cell. The calculation puts the total energy at -135.7 eV per cell.

abc: 17.636 4.345 7.191
angles: 90.00 90.00 90.00
Positions (direct):
Ac  0.118  0.250  0.015
Ac  0.382  0.750  0.515
Ac  0.618  0.250  0.485
Ac  0.882  0.750  0.985
Ga  0.042  0.750  0.727
Ga  0.090  0.250  0.495
Ga  0.188  0.750  0.341
Ga  0.199  0.750  0.729
Ga  0.301  0.250  0.229
Ga  0.312  0.250  0.841
Ga  0.410  0.750  0.995
Ga  0.458  0.250  0.227
Ga  0.542  0.750  0.773
Ga  0.590  0.250  0.005
Ga  0.688  0.750  0.159
Ga  0.699  0.750  0.771
Ga  0.801  0.250  0.271
Ga  0.812  0.250  0.659
Ga  0.910  0.750  0.505
Ga  0.958  0.250  0.273
Pt  0.038  0.750  0.318
Pt  0.231  0.250  0.542
Pt  0.269  0.750  0.042
Pt  0.462  0.250  0.818
Pt  0.538  0.750  0.182
Pt  0.731  0.250  0.958
Pt  0.769  0.750  0.458
Pt  0.962  0.250  0.682

***

16.
Here is AcGa3Pt5 after structural relaxation from the Alexandria database. Energies are from GGA-PBE.

Properties
For the total magnetization, the calculation gives 0.000 μB/cell. The calculation puts the total energy at -100.7 eV per cell.

abc: 6.811 6.811 13.046
angles: 90.00 90.00 145.25
Positions (direct):
Ac  0.167  0.833  0.750
Ac  0.833  0.167  0.250
Ga  0.102  0.898  0.250
Ga  0.378  0.622  0.033
Ga  0.378  0.622  0.467
Ga  0.622  0.378  0.533
Ga  0.622  0.378  0.967
Ga  0.898  0.102  0.750
Pt  0.000  0.000  0.000
Pt  0.000  0.000  0.500
Pt  0.199  0.801  0.081
Pt  0.199  0.801  0.419
Pt  0.462  0.538  0.646
Pt  0.462  0.538  0.854
Pt  0.538  0.462  0.146
Pt  0.538  0.462  0.354
Pt  0.801  0.199  0.581
Pt  0.801  0.199  0.919

***

17.
Here is Ac3GaPt8 after structural relaxation from the Alexandria database. Energies are from GGA-PBE.

Properties
For the total magnetization, the calculation gives 0.000 μB/cell. The calculation puts the total energy at -74.8 eV per cell.

abc: 9.689 9.689 9.689
angles: 33.79 33.79 33.79
Positions (direct):
Ac  0.000  0.000  0.000
Ac  0.132  0.132  0.132
Ac  0.524  0.524  0.524
Ga  0.663  0.663  0.663
Pt  0.072  0.072  0.566
Pt  0.072  0.566  0.072
Pt  0.077  0.569  0.569
Pt  0.320  0.320  0.320
Pt  0.566  0.072  0.072
Pt  0.569  0.077  0.569
Pt  0.569  0.569  0.077
Pt  0.821  0.821  0.821

***

18.
Here is AcGaPt2 after structural relaxation from the Alexandria database. Energies are from GGA-PBE.

Properties
For the total magnetization, the calculation gives 0.000 μB/cell. The calculation puts the total energy at -91.4 eV per cell.

abc: 4.484 4.484 19.959
angles: 90.00 90.00 90.00
Positions (direct):
Ac  0.055  0.071  0.000
Ac  0.071  0.945  0.750
Ac  0.929  0.055  0.250
Ac  0.945  0.929  0.500
Ga  0.427  0.530  0.340
Ga  0.470  0.427  0.590
Ga  0.530  0.573  0.090
Ga  0.573  0.470  0.840
Pt  0.073  0.569  0.887
Pt  0.423  0.571  0.218
Pt  0.429  0.423  0.468
Pt  0.431  0.073  0.137
Pt  0.569  0.927  0.637
Pt  0.571  0.577  0.968
Pt  0.577  0.429  0.718
Pt  0.927  0.431  0.387

***

19.
Here is Ac6GaPt3 after structural relaxation from the Alexandria database. Energies are from GGA-PBE.

Properties
For the total magnetization, the calculation gives 0.000 μB/cell. The calculation puts the total energy at -107.5 eV per cell.

abc: 12.783 4.448 12.957
angles: 90.00 108.95 90.00
Positions (direct):
Ac  0.027  0.250  0.386
Ac  0.111  0.250  0.944
Ac  0.222  0.750  0.263
Ac  0.302  0.750  0.752
Ac  0.375  0.250  0.533
Ac  0.422  0.750  0.092
Ac  0.578  0.250  0.908
Ac  0.625  0.750  0.467
Ac  0.698  0.250  0.248
Ac  0.778  0.250  0.737
Ac  0.889  0.750  0.056
Ac  0.973  0.750  0.614
Ga  0.447  0.250  0.304
Ga  0.553  0.750  0.696
Pt  0.054  0.250  0.161
Pt  0.184  0.750  0.493
Pt  0.344  0.250  0.917
Pt  0.656  0.750  0.083
Pt  0.816  0.250  0.507
Pt  0.946  0.750  0.839